1) ## Dy3CdNi (PBE-GGA)

Data for a relaxed structure of Dy3CdNi.

Properties
* calculated volume: 27.312 Å³ per atom
* magnetization: 0.000 μB/atom
* DOS(E_F): 1.00 states/eV per atom

Cell and atoms, written as POSCAR:
```
Dy3CdNi
1.0
-1.950 -0.905 3.174
-4.726 -5.777 -4.551
3.750 -7.897 0.052
Dy Ni Cd
6 2 2
Direct
0.363 0.379 0.431 Dy
0.863 0.771 0.424 Dy
0.363 0.010 0.062 Dy
0.863 0.372 0.824 Dy
0.863 0.617 0.069 Dy
0.863 0.017 0.669 Dy
0.363 0.694 0.246 Ni
0.363 0.194 0.746 Ni
0.363 0.694 0.747 Cd
0.863 0.194 0.247 Cd
```

=====

2) ## Dy3CdNi (PBE-GGA)

Data for a relaxed structure of Dy3CdNi.

Properties
* calculated volume: 25.546 Å³ per atom
* magnetization: 0.000 μB/atom
* DOS(E_F): 1.12 states/eV per atom

Cell and atoms, written as POSCAR:
```
Dy3CdNi
1.0
5.483 -0.228 2.272
1.807 5.182 2.272
0.000 0.000 8.862
Ni Cd Dy
2 2 6
Direct
0.299 0.701 0.000 Ni
0.701 0.299 0.000 Ni
0.714 0.286 0.500 Cd
0.286 0.714 0.500 Cd
0.040 0.040 0.771 Dy
0.297 0.297 0.302 Dy
0.703 0.703 0.698 Dy
0.685 0.685 0.111 Dy
0.315 0.315 0.889 Dy
0.960 0.960 0.229 Dy
```

=====

Calculated relative energies: 1) 7.7; 2) 0.0, given in kJ/mol of atoms